Record 1
# K3Y2SnO6 PBE relaxed
data_K3Y2SnO6
_symmetry_space_group_name_H-M 'C 1 2/m 1'
_symmetry_Int_Tables_number 12
_symmetry_space_group_name_Hall '-C 2y'
_cell_length_a 6.042
_cell_length_b 10.464
_cell_length_c 6.582
_cell_angle_alpha 90.00
_cell_angle_beta 107.77
_cell_angle_gamma 90.00
loop_
_atom_site_label
_atom_site_fract_x
_atom_site_fract_y
_atom_site_fract_z
_atom_site_occupancy
K1 0.000 0.000 0.000 1
K2 0.000 0.337 0.000 1
Y1 0.000 0.167 0.500 1
Sn1 0.000 0.500 0.500 1
O1 0.227 0.000 0.688 1
O2 0.231 0.332 0.689 1
# - Formation energy from raw total energies: -2.25 eV per atom
# - VASP energy: -6.417 eV/atom
# - ρ: 4.27 g cm⁻³

***

Record 2
# KZn3Sn4O12 PBE relaxed
data_KZn3Sn4O12
_symmetry_space_group_name_H-M 'I m -3'
_symmetry_Int_Tables_number 204
_symmetry_space_group_name_Hall '-I 2 2 3'
_cell_length_a 7.848
_cell_length_b 7.848
_cell_length_c 7.848
_cell_angle_alpha 90.00
_cell_angle_beta 90.00
_cell_angle_gamma 90.00
loop_
_atom_site_label
_atom_site_fract_x
_atom_site_fract_y
_atom_site_fract_z
_atom_site_occupancy
K1 0.000 0.000 0.000 1
Zn1 0.000 0.000 0.500 1
Sn1 0.250 0.250 0.250 1
O1 0.000 0.181 0.315 1
# - Formation energy from raw total energies: -1.44 eV per atom
# - VASP energy: -5.461 eV/atom
# - ρ: 6.20 g cm⁻³

***

Record 3
# K2ZnSnO4 PBE relaxed
data_K2ZnSnO4
_symmetry_space_group_name_H-M 'I -4'
_symmetry_Int_Tables_number 82
_symmetry_space_group_name_Hall 'I -4'
_cell_length_a 5.922
_cell_length_b 5.922
_cell_length_c 7.958
_cell_angle_alpha 90.00
_cell_angle_beta 90.00
_cell_angle_gamma 90.00
loop_
_atom_site_label
_atom_site_fract_x
_atom_site_fract_y
_atom_site_fract_z
_atom_site_occupancy
K1 0.000 0.000 0.000 1
K2 0.000 0.500 0.250 1
Zn1 0.000 0.000 0.500 1
Sn1 0.000 0.500 0.750 1
O1 0.151 0.744 0.619 1
# - Formation energy from raw total energies: -1.55 eV per atom
# - VASP energy: -4.967 eV/atom
# - ρ: 3.88 g cm⁻³

***

Record 4
# K2ZnSnO PBE relaxed
data_K2ZnSnO
_symmetry_space_group_name_H-M 'P 4/m m m'
_symmetry_Int_Tables_number 123
_symmetry_space_group_name_Hall '-P 4 2'
_cell_length_a 6.791
_cell_length_b 6.791
_cell_length_c 3.597
_cell_angle_alpha 90.00
_cell_angle_beta 90.00
_cell_angle_gamma 90.00
loop_
_atom_site_label
_atom_site_fract_x
_atom_site_fract_y
_atom_site_fract_z
_atom_site_occupancy
K1 0.000 0.500 0.000 1
Zn1 0.000 0.000 0.000 1
Sn1 0.500 0.500 0.500 1
O1 0.000 0.000 0.500 1
# - Formation energy from raw total energies: -0.32 eV per atom
# - VASP energy: -2.810 eV/atom
# - ρ: 2.79 g cm⁻³

***

Record 5
# KZrSnO2 PBE relaxed
data_KZrSnO2
_symmetry_space_group_name_H-M 'P 4/m m m'
_symmetry_Int_Tables_number 123
_symmetry_space_group_name_Hall '-P 4 2'
_cell_length_a 4.451
_cell_length_b 4.451
_cell_length_c 5.268
_cell_angle_alpha 90.00
_cell_angle_beta 90.00
_cell_angle_gamma 90.00
loop_
_atom_site_label
_atom_site_fract_x
_atom_site_fract_y
_atom_site_fract_z
_atom_site_occupancy
K1 0.000 0.000 0.000 1
Zr1 0.500 0.500 0.500 1
Sn1 0.000 0.000 0.500 1
O1 0.000 0.500 0.000 1
# - Formation energy from raw total energies: 0.68 eV per atom
# - VASP energy: -4.036 eV/atom
# - ρ: 4.47 g cm⁻³

***

Record 6
# KSrO2 PBE relaxed
data_KSrO2
_symmetry_space_group_name_H-M 'R 3 m'
_symmetry_Int_Tables_number 160
_symmetry_space_group_name_Hall 'R 3 -2"'
_cell_length_a 3.7174
_cell_length_b 3.7174
_cell_length_c 19.5669
_cell_angle_alpha 90.00
_cell_angle_beta 90.00
_cell_angle_gamma 120.00
loop_
_atom_site_label
_atom_site_fract_x
_atom_site_fract_y
_atom_site_fract_z
_atom_site_occupancy
K1 0.0000 0.0000 0.0000 1
Sr1 0.0000 0.0000 0.8286 1
O1 0.0000 0.0000 0.2315 1
O2 0.0000 0.0000 0.4269 1
# - Formation energy from raw total energies: -1.68 eV per atom
# - VASP energy: -4.859 eV/atom
# - ρ: 3.38 g cm⁻³

***

Record 7
# KSrO PBE relaxed
data_KSrO
_symmetry_space_group_name_H-M 'P 3 m 1'
_symmetry_Int_Tables_number 156
_symmetry_space_group_name_Hall 'P 3 -2"'
_cell_length_a 3.8667
_cell_length_b 3.8667
_cell_length_c 7.0982
_cell_angle_alpha 90.00
_cell_angle_beta 90.00
_cell_angle_gamma 120.00
loop_
_atom_site_label
_atom_site_fract_x
_atom_site_fract_y
_atom_site_fract_z
_atom_site_occupancy
K1 0.0000 0.0000 0.0000 1
Sr1 0.6667 0.3333 0.5878 1
O1 0.3333 0.6667 0.7266 1
# - Energy relative to the lowest polymorph listed for this composition: 25 meV per atom
# - Formation energy from raw total energies: -1.57 eV per atom
# - VASP energy: -4.150 eV/atom
# - ρ: 2.58 g cm⁻³

***

Record 8
# K3SrO PBE relaxed
data_K3SrO
_symmetry_space_group_name_H-M 'P m -3 m'
_symmetry_Int_Tables_number 221
_symmetry_space_group_name_Hall '-P 4 2 3'
_cell_length_a 5.828
_cell_length_b 5.828
_cell_length_c 5.828
_cell_angle_alpha 90.00
_cell_angle_beta 90.00
_cell_angle_gamma 90.00
loop_
_atom_site_label
_atom_site_fract_x
_atom_site_fract_y
_atom_site_fract_z
_atom_site_occupancy
K1 0.000 0.000 0.500 1
Sr1 0.500 0.500 0.500 1
O1 0.000 0.000 0.000 1
# - Formation energy from raw total energies: -0.30 eV per atom
# - VASP energy: -2.291 eV/atom
# - ρ: 1.85 g cm⁻³

***

- Which of these has the lowest ρ?
  K3SrO

***

- Which formula does entry 7 have?
  KSrO